(1)
The following is a DFT calculation (GGA-PBEsol) of an optimized crystal structure of ScMo2W.

Properties
Calculated formation energy: 0.13 eV per atom
Mass density: 10.775 g/cm3

Cell: 2.7521 4.4483 5.3634 Å, 90.00 99.11 90.00°
Sites, in units of the cell vectors:
Mo: 0.7670 0.0000 0.7453
Mo: 0.2330 0.0000 0.2547
W: 0.0000 0.5000 0.5000
Sc: 0.5000 0.5000 0.0000

=====

(2)
The following is a DFT calculation (GGA-PBEsol) of an optimized crystal structure of ScMoW.

Properties
Calculated formation energy: 0.39 eV per atom
Mass density: 10.326 g/cm3

Cell: 3.0436 3.0436 6.5093 Å, 90.00 90.00 120.00°
Sites, in units of the cell vectors:
W: 0.6667 0.3333 0.3080
Sc: 0.3333 0.6667 0.6690
Mo: 0.0000 0.0000 0.0230

=====

(3)
The following is a DFT calculation (GGA-PBEsol) of an optimized crystal structure of ScMo2W.

Properties
Calculated formation energy: 0.22 eV per atom
Mass density: 10.853 g/cm3

Cell: 3.1307 4.4629 4.6067 Å, 90.00 90.00 90.00°
Sites, in units of the cell vectors:
Mo: 0.5000 0.0000 0.5000
Mo: 0.0000 0.0000 0.0000
Sc: 0.5000 0.5000 0.0000
W: 0.0000 0.5000 0.5000

=====

(4)
The following is a DFT calculation (GGA-PBEsol) of an optimized crystal structure of Y2ScMo.

Properties
Calculated formation energy: 0.30 eV per atom
Mass density: 5.521 g/cm3

Cell: 3.1728 3.1728 10.0248 Å, 90.00 90.00 108.23°
Sites, in units of the cell vectors:
Y: 0.5000 0.5000 0.7002
Y: 0.0000 0.0000 0.0140
Mo: 0.0000 0.0000 0.4887
Sc: 0.5000 0.5000 0.2970

=====

(5)
The following is a DFT calculation (GGA-PBEsol) of an optimized crystal structure of YScMo.

Properties
Calculated formation energy: 0.46 eV per atom
Mass density: 5.724 g/cm3

Cell: 3.2827 3.2827 7.1438 Å, 90.00 90.00 120.00°
Sites, in units of the cell vectors:
Y: 0.6667 0.3333 0.2940
Sc: 0.3333 0.6667 0.7152
Mo: 0.0000 0.0000 0.9909

=====

(6)
The following is a DFT calculation (GGA-PBEsol) of an optimized crystal structure of YScMo.

Properties
Calculated formation energy: 0.27 eV per atom
Mass density: 5.784 g/cm3

Cell: 3.4232 3.4232 6.1283 Å, 106.22 106.22 90.00°
Sites, in units of the cell vectors:
Mo: 0.9885 0.9885 0.9770
Sc: 0.3656 0.3656 0.7312
Y: 0.6459 0.6459 0.2918